No. 1
ZrPI3: optimized geometry, GGA-PBE.

Lattice parameters (Å, degrees): 5.774 5.774 5.774 90.00 90.00 90.00
Each line ends with the local moment (μB).
Element x y z (fractional)
I (0.000, 0.500, 0.000)  0.02
I (0.000, 0.000, 0.500)  0.05
I (0.500, 0.000, 0.000)  0.02
P (0.500, 0.500, 0.500)  1.17
Zr (0.000, 0.000, 0.000)  0.07

Summary:
**Energy relative to the elements, uncorrected**: 143 meV/atom
**Energy above the lowest structure with this stoichiometry**: 0.000 eV per atom
**Fermi-level density of states**: 0.471 states/eV per atom


No. 2
NbV3W3: optimized geometry, GGA-PBE.

Lattice parameters (Å, degrees): 7.219 7.219 7.219 55.14 55.14 55.14
Element x y z (fractional)
Nb (0.253, 0.253, 0.253)
Nb (0.747, 0.747, 0.747)
V (0.635, 0.358, 0.899)
V (0.358, 0.899, 0.635)
V (0.899, 0.635, 0.358)
V (0.101, 0.365, 0.642)
V (0.642, 0.101, 0.365)
V (0.365, 0.642, 0.101)
W (0.847, 0.389, 0.150)
W (0.150, 0.847, 0.389)
W (0.389, 0.150, 0.847)
W (0.611, 0.850, 0.153)
W (0.850, 0.153, 0.611)
W (0.153, 0.611, 0.850)

Summary:
**Fermi-level density of states**: 1.282 states/eV per atom
**Formation energy from the elements**: 0.61 eV/atom


No. 3
Mn2CdTePd: optimized geometry, GGA-PBE.

Lattice parameters (Å, degrees): 4.884 5.484 4.884 90.00 90.00 90.00
Each line ends with the local moment (μB).
Element x y z (fractional)
Mn (0.000, 0.000, 0.500)  3.62
Mn (0.500, 0.000, 0.000)  3.72
Te (0.000, 0.000, 0.000)  -0.07
Pd (0.500, 0.500, 0.500)  0.13
Cd (0.000, 0.500, 0.000)  0.01

Summary:
**Energy relative to the elements, uncorrected**: 1014 meV/atom
**Fermi-level density of states**: 1.026 states/eV per atom


No. 4
CaTm7In4: optimized geometry, GGA-PBE.

Lattice parameters (Å, degrees): 5.612 9.420 7.501 79.37 68.03 72.67
Element x y z (fractional)
Ca (0.000, 0.000, 0.000)
Tm (0.780, 0.875, 0.565)
Tm (0.220, 0.125, 0.435)
Tm (0.058, 0.617, 0.267)
Tm (0.942, 0.383, 0.733)
Tm (0.317, 0.615, 0.751)
Tm (0.500, 0.000, 0.000)
Tm (0.683, 0.385, 0.249)
In (0.569, 0.221, 0.640)
In (0.431, 0.779, 0.360)
In (0.687, 0.670, 0.956)
In (0.313, 0.330, 0.044)

Summary:
**Fermi-level density of states**: 0.865 states/eV per atom
**Formation energy from the elements**: -0.04 eV/atom


No. 5
MnTcMoRh: optimized geometry, GGA-PBE.

Lattice parameters (Å, degrees): 4.361 4.361 4.361 60.00 60.00 60.00
Each line ends with the local moment (μB).
Element x y z (fractional)
Mo (0.000, 0.000, 0.000)  0.16
Mn (0.500, 0.500, 0.500)  3.42
Rh (0.750, 0.750, 0.750)  0.38
Tc (0.250, 0.250, 0.250)  0.08

Summary:
**Fermi-level density of states**: 1.017 states/eV per atom
**Formation energy from the elements**: 0.03 eV/atom


No. 6
YHf2Pt: optimized geometry, GGA-PBE.

Lattice parameters (Å, degrees): 8.074 8.074 6.444 51.21 51.21 90.00
Element x y z (fractional)
Y (0.500, 0.500, 0.000)
Y (0.250, 0.750, 0.500)
Hf (0.688, 0.125, 0.250)
Hf (0.062, 0.625, 0.250)
Hf (0.375, 0.312, 0.750)
Hf (0.875, 0.938, 0.750)
Pt (0.000, 0.000, 0.000)
Pt (0.750, 0.250, 0.500)

Summary:
**Energy above the lowest structure with this stoichiometry**: 0.000 eV per atom
**Fermi-level density of states**: 0.906 states/eV per atom
**Formation energy from the elements**: -0.28 eV/atom


> Which of these has the highest Fermi-level density of states?

NbV3W3